Model w:
LaCeI2 PBE-GGA relaxed; total magnetization = 1.3 μB/f.u.; crystal system = trigonal
1.0
1.970 1.137 9.709
-1.970 1.137 9.709
0.000 -2.275 9.709
La Ce I
1 1 2
direct
0.000 0.000 0.000 La
0.164 0.164 0.164 Ce
0.417 0.417 0.417 I
0.581 0.581 0.581 I


Model x:
LaCeI2 PBE-GGA relaxed; total magnetization = 1.3 μB/f.u.; crystal system = trigonal
1.0
1.978 1.142 9.640
-1.978 1.142 9.640
0.000 -2.284 9.640
La Ce I
1 1 2
direct
0.000 0.000 0.000 La
0.500 0.500 0.500 Ce
0.248 0.248 0.248 I
0.752 0.752 0.752 I


Which of them is the least stable? Correct choice: model x.


Model w:
LiCe2I6 PBE-GGA relaxed; total magnetization = 3.0 μB/f.u.; crystal system = tetragonal
1.0
7.548 0.000 0.000
0.000 7.548 0.000
0.000 0.000 13.657
Li Ce I
2 4 12
direct
0.000 0.000 0.000 Li
0.500 0.500 0.500 Li
0.000 0.000 0.341 Ce
0.000 0.000 0.659 Ce
0.500 0.500 0.159 Ce
0.500 0.500 0.841 Ce
0.196 0.196 0.161 I
0.196 0.196 0.839 I
0.216 0.216 0.500 I
0.284 0.716 0.000 I
0.304 0.696 0.339 I
0.304 0.696 0.661 I
0.696 0.304 0.339 I
0.696 0.304 0.661 I
0.716 0.284 0.000 I
0.784 0.784 0.500 I
0.804 0.804 0.161 I
0.804 0.804 0.839 I


Model x:
LiCe2I6 PBE-GGA relaxed; total magnetization = 3.0 μB/f.u.; crystal system = monoclinic
1.0
8.736 -2.208 0.000
8.736 2.208 0.000
-3.368 0.000 10.311
Li Ce I
1 2 6
direct
0.000 0.000 0.000 Li
0.336 0.336 0.671 Ce
0.664 0.664 0.329 Ce
0.029 0.029 0.305 I
0.304 0.304 0.359 I
0.377 0.377 0.970 I
0.623 0.623 0.030 I
0.696 0.696 0.641 I
0.971 0.971 0.695 I


Which of them is the least stable? Correct choice: model w.


Model w:
LiCeI6 PBE-GGA relaxed; total magnetization = 0.0 μB/f.u.; crystal system = triclinic
1.0
6.923 0.000 0.000
2.472 6.500 0.000
3.015 2.000 7.313
Li Ce I
1 1 6
direct
0.000 0.000 0.000 Li
0.500 0.500 0.500 Ce
0.081 0.405 0.768 I
0.251 0.898 0.272 I
0.422 0.750 0.764 I
0.578 0.250 0.236 I
0.749 0.102 0.728 I
0.919 0.595 0.232 I


Model x:
LiCeI6 PBE-GGA relaxed; total magnetization = 0.0 μB/f.u.; crystal system = monoclinic
1.0
4.117 -5.751 0.000
4.117 5.751 0.000
-0.346 0.000 7.483
Li Ce I
1 1 6
direct
0.000 0.000 0.000 Li
0.000 0.000 0.500 Ce
0.012 0.671 0.239 I
0.291 0.291 0.259 I
0.329 0.988 0.761 I
0.671 0.012 0.239 I
0.709 0.709 0.741 I
0.988 0.329 0.761 I


Which of them is the least stable? Correct choice: model w.


Model w:
Ce2IN2 PBE-GGA relaxed; total magnetization = 1.1 μB/f.u.; crystal system = tetragonal
1.0
-2.049 2.049 6.848
2.049 -2.049 6.848
2.049 2.049 -6.848
Ce I N
2 1 2
direct
0.173 0.173 0.000 Ce
0.827 0.827 0.000 Ce
0.500 0.500 0.000 I
0.250 0.750 0.500 N
0.750 0.250 0.500 N


Model x:
Ce2IN2 PBE-GGA relaxed; total magnetization = 1.3 μB/f.u.; crystal system = tetragonal
1.0
3.911 0.000 0.000
0.000 3.911 0.000
0.000 0.000 7.072
Ce I N
2 1 2
direct
0.000 0.000 0.191 Ce
0.000 0.000 0.809 Ce
0.500 0.500 0.500 I
0.000 0.500 0.000 N
0.500 0.000 0.000 N


Which of them is the least stable? Correct choice: model x.


Model w:
NaCeI6 PBE-GGA relaxed; total magnetization = 1.0 μB/f.u.; crystal system = triclinic
1.0
7.826 0.000 0.000
3.690 6.984 0.000
3.689 1.497 6.847
Na Ce I
1 1 6
direct
0.000 0.000 0.000 Na
0.500 0.500 0.500 Ce
0.076 0.714 0.747 I
0.309 0.200 0.562 I
0.388 0.728 0.141 I
0.612 0.272 0.859 I
0.691 0.800 0.438 I
0.924 0.286 0.253 I


Model x:
NaCeI6 PBE-GGA relaxed; total magnetization = 0.7 μB/f.u.; crystal system = trigonal
1.0
7.822 0.000 0.000
-3.911 6.774 0.000
0.000 0.000 6.943
Na Ce I
1 1 6
direct
0.000 0.000 0.000 Na
0.667 0.333 0.500 Ce
0.353 0.009 0.746 I
0.353 0.344 0.254 I
0.656 0.009 0.254 I
0.656 0.647 0.746 I
0.991 0.344 0.746 I
0.991 0.647 0.254 I


Which of them is the least stable? Correct choice: model x.


Model w:
Ce2NdI6 PBE-GGA relaxed; total magnetization = 3.2 μB/f.u.; crystal system = trigonal
1.0
3.898 2.250 7.459
-3.898 2.250 7.459
0.000 -4.501 7.459
Ce Nd I
2 1 6
direct
0.000 0.000 0.000 Ce
0.166 0.166 0.166 Ce
0.836 0.836 0.836 Nd
0.083 0.746 0.421 I
0.258 0.585 0.908 I
0.421 0.083 0.746 I
0.585 0.908 0.258 I
0.746 0.421 0.083 I
0.908 0.258 0.585 I


Model x:
Ce2NdI6 PBE-GGA relaxed; total magnetization = 3.8 μB/f.u.; crystal system = monoclinic
1.0
8.742 -2.120 0.000
8.742 2.120 0.000
-4.898 0.000 10.426
Ce Nd I
2 1 6
direct
0.175 0.175 0.346 Ce
0.825 0.825 0.654 Ce
0.500 0.500 0.000 Nd
0.146 0.146 0.047 I
0.181 0.181 0.627 I
0.477 0.477 0.711 I
0.523 0.523 0.289 I
0.819 0.819 0.373 I
0.854 0.854 0.953 I


Which of them is the least stable? Correct choice: model w.


Model w:
CeNdI6 PBE-GGA relaxed; total magnetization = 1.0 μB/f.u.; crystal system = trigonal
1.0
3.917 2.261 7.151
-3.917 2.261 7.151
0.000 -4.523 7.151
Ce Nd I
1 1 6
direct
0.000 0.000 0.000 Ce
0.500 0.500 0.500 Nd
0.090 0.749 0.412 I
0.251 0.588 0.910 I
0.412 0.090 0.749 I
0.588 0.910 0.251 I
0.749 0.412 0.090 I
0.910 0.251 0.588 I


Model x:
CeNdI6 PBE-GGA relaxed; total magnetization = 1.0 μB/f.u.; crystal system = monoclinic
1.0
3.879 -7.214 0.000
3.879 7.214 0.000
-2.356 0.000 7.370
Ce Nd I
1 1 6
direct
0.000 0.000 0.000 Ce
0.500 0.500 0.500 Nd
0.102 0.402 0.251 I
0.249 0.249 0.748 I
0.402 0.102 0.251 I
0.598 0.898 0.749 I
0.751 0.751 0.252 I
0.898 0.598 0.749 I


Which of them is the least stable? Correct choice: model w.


Model w:
Ce2PbI PBE-GGA relaxed; total magnetization = 2.6 μB/f.u.; crystal system = trigonal
1.0
2.248 1.298 7.933
-2.248 1.298 7.933
0.000 -2.595 7.933
Ce Pb I
2 1 1
direct
0.000 0.000 0.000 Ce
0.181 0.181 0.181 Ce
0.589 0.589 0.589 Pb
0.759 0.759 0.759 I


Model x:
Ce2PbI PBE-GGA relaxed; total magnetization = 3.4 μB/f.u.; crystal system = tetragonal
1.0
3.822 0.000 0.000
0.000 3.822 0.000
0.000 0.000 8.279
Ce Pb I
2 1 1
direct
0.000 0.000 0.244 Ce
0.000 0.000 0.756 Ce
0.500 0.500 0.000 Pb
0.500 0.500 0.500 I


Model y:
Ce2PbI PBE-GGA relaxed; total magnetization = 2.2 μB/f.u.; crystal system = trigonal
1.0
2.335 1.348 7.076
-2.335 1.348 7.076
0.000 -2.697 7.076
Ce Pb I
2 1 1
direct
0.248 0.248 0.248 Ce
0.752 0.752 0.752 Ce
0.500 0.500 0.500 Pb
0.000 0.000 0.000 I


Which of them is the least stable? Correct choice: model w.


Model w:
CePrI2 PBE-GGA relaxed; total magnetization = 1.2 μB/f.u.; crystal system = trigonal
1.0
1.969 1.137 9.600
-1.969 1.137 9.600
0.000 -2.274 9.600
Ce Pr I
1 1 2
direct
0.000 0.000 0.000 Ce
0.164 0.164 0.164 Pr
0.415 0.415 0.415 I
0.583 0.583 0.583 I


Model x:
CePrI2 PBE-GGA relaxed; total magnetization = 1.8 μB/f.u.; crystal system = trigonal
1.0
1.960 1.132 11.118
-1.960 1.132 11.118
0.000 -2.263 11.118
Ce Pr I
1 1 2
direct
0.000 0.000 0.000 Ce
0.500 0.500 0.500 Pr
0.097 0.097 0.097 I
0.903 0.903 0.903 I


Which of them is the least stable? Correct choice: model x.


Model w:
Ce2PuI PBE-GGA relaxed; total magnetization = 9.1 μB/f.u.; crystal system = tetragonal
1.0
3.976 0.000 0.000
0.000 3.976 0.000
0.000 0.000 7.157
Ce Pu I
2 1 1
direct
0.000 0.000 0.237 Ce
0.000 0.000 0.763 Ce
0.500 0.500 0.000 Pu
0.500 0.500 0.500 I


Model x:
Ce2PuI PBE-GGA relaxed; total magnetization = 2.2 μB/f.u.; crystal system = trigonal
1.0
1.889 1.091 8.077
-1.889 1.091 8.077
0.000 -2.182 8.077
Ce Pu I
2 1 1
direct
0.228 0.228 0.228 Ce
0.772 0.772 0.772 Ce
0.500 0.500 0.500 Pu
0.000 0.000 0.000 I


Which of them is the least stable? Correct choice: model x.


Model w:
Rb2CeI4 PBE-GGA relaxed; total magnetization = 2.0 μB/f.u.; crystal system = tetragonal
1.0
-4.430 4.430 4.778
4.430 -4.430 4.778
4.430 4.430 -4.778
Rb Ce I
2 1 4
direct
0.250 0.750 0.500 Rb
0.750 0.250 0.500 Rb
0.000 0.000 0.000 Ce
0.237 0.736 0.000 I
0.264 0.264 0.501 I
0.736 0.237 0.000 I
0.763 0.763 0.499 I


Model x:
Rb2CeI4 PBE-GGA relaxed; total magnetization = 1.6 μB/f.u.; crystal system = tetragonal
1.0
-3.147 3.147 9.304
3.147 -3.147 9.304
3.147 3.147 -9.304
Rb Ce I
2 1 4
direct
0.133 0.133 0.000 Rb
0.867 0.867 0.000 Rb
0.500 0.500 0.000 Ce
0.000 0.500 0.500 I
0.328 0.328 0.000 I
0.500 0.000 0.500 I
0.672 0.672 0.000 I


Which of them is the least stable? Correct choice: model w.


Model w:
RbCeI3 PBE-GGA relaxed; total magnetization = 0.0 μB/f.u.; crystal system = monoclinic
1.0
7.535 -4.411 0.000
7.535 4.411 0.000
-1.580 0.000 7.279
Rb Ce I
2 2 6
direct
0.167 0.167 0.216 Rb
0.833 0.833 0.784 Rb
0.500 0.500 0.000 Ce
0.500 0.500 0.500 Ce
0.151 0.668 0.210 I
0.321 0.321 0.673 I
0.332 0.849 0.790 I
0.668 0.151 0.210 I
0.679 0.679 0.327 I
0.849 0.332 0.790 I


Model x:
RbCeI3 PBE-GGA relaxed; total magnetization = 2.0 μB/f.u.; crystal system = orthorhombic
1.0
10.507 0.000 0.000
0.000 4.527 0.000
0.000 0.000 18.157
Rb Ce I
4 4 12
direct
0.064 0.250 0.173 Rb
0.436 0.750 0.673 Rb
0.564 0.250 0.327 Rb
0.936 0.750 0.827 Rb
0.129 0.750 0.453 Ce
0.371 0.250 0.953 Ce
0.629 0.750 0.047 Ce
0.871 0.250 0.547 Ce
0.049 0.750 0.624 I
0.167 0.750 0.006 I
0.225 0.250 0.796 I
0.275 0.750 0.296 I
0.333 0.250 0.506 I
0.451 0.250 0.124 I
0.549 0.750 0.876 I
0.667 0.750 0.494 I
0.725 0.250 0.704 I
0.775 0.750 0.204 I
0.833 0.250 0.994 I
0.951 0.250 0.376 I


Model y:
RbCeI3 PBE-GGA relaxed; total magnetization = 2.0 μB/f.u.; crystal system = cubic
1.0
6.326 0.000 0.000
0.000 6.326 0.000
0.000 0.000 6.326
Rb Ce I
1 1 3
direct
0.000 0.000 0.000 Rb
0.500 0.500 0.500 Ce
0.000 0.500 0.500 I
0.500 0.000 0.500 I
0.500 0.500 0.000 I


Which of them is the least stable? Correct choice: model y.